A relaxed structure of LiTb3Pm2Te6. Source: Alexandria via LeMat-Bulk, functional PBE.

Cell: 4.385 8.796 9.834 Å, 102.98 102.88 90.00°
Element x y z (fractional)
Te (0.663, 0.588, 0.326)
Pm (0.830, 0.659, 0.660)
Tb (0.830, 0.168, 0.661)
Te (0.001, 0.758, 0.003)
Li (0.500, 0.000, 0.000)
Te (0.338, 0.924, 0.676)
Te (0.337, 0.412, 0.674)
Te (0.999, 0.242, 0.997)
Te (0.662, 0.076, 0.324)
Tb (0.500, 0.500, 0.000)
Tb (0.170, 0.832, 0.339)
Pm (0.170, 0.341, 0.340)

* E_form (uncorrected): -1.355 eV/atom
* calculated total energy: -5.035 eV/atom
* total magnetization: 0.0 μB per cell